(1)
# TaTe (PBE, optimized geometry)
data_TaTe
_space_group_name_H-M_alt 'P 1'
_space_group_IT_number 1
_cell_length_a 3.3974
_cell_length_b 3.3974
_cell_length_c 9.4449
_cell_angle_alpha 90.00
_cell_angle_beta 90.00
_cell_angle_gamma 120.00
loop_
_space_group_symop_operation_xyz
'x,y,z'
loop_
_atom_site_label
_atom_site_fract_x
_atom_site_fract_y
_atom_site_fract_z
Te1 0.6667 0.3333 0.8929
Ta1 0.6667 0.3333 0.1891
Ta2 0.3333 0.6667 0.6891
Te2 0.3333 0.6667 0.3929
# symmetry = P6_3mc, No. 186
# E_form (uncorrected) = 0.34 eV/atom
# DOS at the Fermi energy = 1.46 states/eV/atom
# raw total energy = -28.63 eV per cell


(2)
# Ta3Te (PBE, optimized geometry)
data_Ta3Te
_space_group_name_H-M_alt 'P 1'
_space_group_IT_number 1
_cell_length_a 4.7833
_cell_length_b 4.7833
_cell_length_c 3.4192
_cell_angle_alpha 90.00
_cell_angle_beta 90.00
_cell_angle_gamma 103.06
loop_
_space_group_symop_operation_xyz
'x,y,z'
loop_
_atom_site_label
_atom_site_fract_x
_atom_site_fract_y
_atom_site_fract_z
Ta1 0.5000 0.0000 0.5000
Te1 0.0000 0.0000 0.0000
Ta2 0.0000 0.5000 0.5000
Ta3 0.5000 0.5000 0.0000
# symmetry = Cmmm, No. 65
# E_form (uncorrected) = 0.16 eV/atom
# DOS at the Fermi energy = 0.73 states/eV/atom
# raw total energy = -38.07 eV per cell


(3)
# TaTe3 (PBE, optimized geometry)
data_TaTe3
_space_group_name_H-M_alt 'P 1'
_space_group_IT_number 1
_cell_length_a 5.2304
_cell_length_b 3.1407
_cell_length_c 6.1217
_cell_angle_alpha 89.85
_cell_angle_beta 90.00
_cell_angle_gamma 90.00
loop_
_space_group_symop_operation_xyz
'x,y,z'
loop_
_atom_site_label
_atom_site_fract_x
_atom_site_fract_y
_atom_site_fract_z
Ta1 0.0000 0.0000 0.0000
Te1 0.0000 0.5000 0.5000
Te2 0.5000 0.9787 0.7645
Te3 0.5000 0.0213 0.2355
# symmetry = P2/m, No. 10
# E_form (uncorrected) = 0.52 eV/atom
# DOS at the Fermi energy = 0.96 states/eV/atom
# raw total energy = -19.21 eV per cell